Compound: CsMgInP
Source: Alexandria
Functional: GGA-PBE
Structure: optimized geometry

Energy of formation from the pure elements (eV per atom): -0.38

Geometry as CIF:
```
data_CsMgInP
_chemical_formula_sum 'Cs2 Mg2 In2 P2'
_cell_length_a 4.375
_cell_length_b 4.375
_cell_length_c 14.729
_cell_angle_alpha 90.00
_cell_angle_beta 90.00
_cell_angle_gamma 90.00
_symmetry_space_group_name_H-M 'P 4/n m m'
_symmetry_Int_Tables_number 129
loop_
_symmetry_equiv_pos_as_xyz
'x,y,z'
'-x,-y,-z'
'-y+1/2,x,z'
'y+1/2,-x,-z'
'-x+1/2,-y+1/2,z'
'x+1/2,y+1/2,-z'
'y,-x+1/2,z'
'-y,x+1/2,-z'
'x+1/2,-y,-z'
'-x+1/2,y,z'
'-y,-x,-z'
'y,x,z'
'-x,y+1/2,-z'
'x,-y+1/2,z'
'y+1/2,x+1/2,-z'
'-y+1/2,-x+1/2,z'
loop_
_atom_site_label
_atom_site_type_symbol
_atom_site_fract_x
_atom_site_fract_y
_atom_site_fract_z
Cs1 Cs 0.250 0.250 0.226
Mg1 Mg 0.250 0.750 0.000
In1 In 0.250 0.750 0.500
P1 P 0.250 0.250 0.903
```

***

Compound: Cs2SmSnCl6
Source: Alexandria
Functional: GGA-PBE
Structure: optimized geometry

Formation energy from raw total energies (eV per atom): -1.750

Geometry as CIF:
```
data_Cs2SmSnCl6
_chemical_formula_sum 'Cs4 Sm2 Sn2 Cl12'
_cell_length_a 7.695
_cell_length_b 12.716
_cell_length_c 8.099
_cell_angle_alpha 90.00
_cell_angle_beta 90.00
_cell_angle_gamma 90.00
_symmetry_space_group_name_H-M 'P m m n'
_symmetry_Int_Tables_number 59
loop_
_symmetry_equiv_pos_as_xyz
'x,y,z'
'-x,-y,-z'
'-x+1/2,-y+1/2,z'
'x+1/2,y+1/2,-z'
'x+1/2,-y,-z'
'-x+1/2,y,z'
'-x,y+1/2,-z'
'x,-y+1/2,z'
loop_
_atom_site_label
_atom_site_type_symbol
_atom_site_fract_x
_atom_site_fract_y
_atom_site_fract_z
Cs1 Cs 0.250 0.015 0.239
Sm1 Sm 0.250 0.750 0.827
Sn1 Sn 0.250 0.250 0.675
Cl1 Cl 0.007 0.250 0.401
Cl2 Cl 0.011 0.750 0.076
Cl3 Cl 0.250 0.539 0.819
```

***

Compound: KNa3Te
Source: Alexandria
Functional: GGA-PBE
Structure: optimized geometry

Formation energy from raw total energies (eV per atom): -0.390

Geometry as CIF:
```
data_KNa3Te
_chemical_formula_sum 'K1 Na3 Te1'
_cell_length_a 6.128
_cell_length_b 6.128
_cell_length_c 6.128
_cell_angle_alpha 90.00
_cell_angle_beta 90.00
_cell_angle_gamma 90.00
_symmetry_space_group_name_H-M 'P m -3 m'
_symmetry_Int_Tables_number 221
_symmetry_space_group_name_Hall '-P 4 2 3'
loop_
_atom_site_label
_atom_site_type_symbol
_atom_site_fract_x
_atom_site_fract_y
_atom_site_fract_z
K1 K 0.000 0.000 0.000
Na1 Na 0.000 0.500 0.500
Te1 Te 0.500 0.500 0.500
```

***

Compound: NaHfSc
Source: Alexandria
Functional: GGA-PBE
Structure: optimized geometry

Energy of formation from the pure elements (eV per atom): 0.82

Geometry as CIF:
```
data_NaHfSc
_chemical_formula_sum 'Na2 Hf2 Sc2'
_cell_length_a 3.953
_cell_length_b 3.953
_cell_length_c 10.455
_cell_angle_alpha 90.00
_cell_angle_beta 90.00
_cell_angle_gamma 90.00
_symmetry_space_group_name_H-M 'P 4/n m m'
_symmetry_Int_Tables_number 129
loop_
_symmetry_equiv_pos_as_xyz
'x,y,z'
'-x,-y,-z'
'-y+1/2,x,z'
'y+1/2,-x,-z'
'-x+1/2,-y+1/2,z'
'x+1/2,y+1/2,-z'
'y,-x+1/2,z'
'-y,x+1/2,-z'
'x+1/2,-y,-z'
'-x+1/2,y,z'
'-y,-x,-z'
'y,x,z'
'-x,y+1/2,-z'
'x,-y+1/2,z'
'y+1/2,x+1/2,-z'
'-y+1/2,-x+1/2,z'
loop_
_atom_site_label
_atom_site_type_symbol
_atom_site_fract_x
_atom_site_fract_y
_atom_site_fract_z
Na1 Na 0.250 0.250 0.089
Hf1 Hf 0.250 0.250 0.728
Sc1 Sc 0.250 0.750 0.500
```

***

Compound: NpIn2Rh
Source: Alexandria
Functional: GGA-PBE
Structure: optimized geometry

Energy of formation from the pure elements (eV per atom): -0.11

Geometry as CIF:
```
data_NpIn2Rh
_chemical_formula_sum 'Np1 In2 Rh1'
_cell_length_a 3.171
_cell_length_b 3.171
_cell_length_c 8.272
_cell_angle_alpha 90.00
_cell_angle_beta 90.00
_cell_angle_gamma 90.00
_symmetry_space_group_name_H-M 'P 4/m m m'
_symmetry_Int_Tables_number 123
_symmetry_space_group_name_Hall '-P 4 2'
loop_
_atom_site_label
_atom_site_type_symbol
_atom_site_fract_x
_atom_site_fract_y
_atom_site_fract_z
Np1 Np 0.000 0.000 0.000
In1 In 0.500 0.500 0.296
Rh1 Rh 0.000 0.000 0.500
```

***

Compound: Ba2TaP2N6
Source: Alexandria
Functional: GGA-PBE
Structure: optimized geometry

Formation energy from raw total energies (eV per atom): -0.843

Geometry as CIF:
```
data_Ba2TaP2N6
_chemical_formula_sum 'Ba6 Ta3 P6 N18'
_cell_length_a 5.7184
_cell_length_b 5.7184
_cell_length_c 16.4491
_cell_angle_alpha 90.00
_cell_angle_beta 90.00
_cell_angle_gamma 120.00
_symmetry_space_group_name_H-M 'R -3 m'
_symmetry_Int_Tables_number 166
_symmetry_space_group_name_Hall '-R 3 2"'
loop_
_atom_site_label
_atom_site_type_symbol
_atom_site_fract_x
_atom_site_fract_y
_atom_site_fract_z
Ba1 Ba 0.0000 0.0000 0.2274
Ta1 Ta 0.0000 0.0000 0.0000
P1 P 0.0000 0.0000 0.4286
N1 N 0.0139 0.5070 0.2601
```

***

Compound: Pm6Nd12Sm
Source: Alexandria
Functional: GGA-PBE
Structure: optimized geometry

Energy of formation from the pure elements (eV per atom): 0.13

Geometry as CIF:
```
data_Pm6Nd12Sm
_chemical_formula_sum 'Pm18 Nd36 Sm3'
_cell_length_a 12.3080
_cell_length_b 12.3080
_cell_length_c 15.4003
_cell_angle_alpha 90.00
_cell_angle_beta 90.00
_cell_angle_gamma 120.00
_symmetry_space_group_name_H-M 'R -3'
_symmetry_Int_Tables_number 148
_symmetry_space_group_name_Hall '-R 3'
loop_
_atom_site_label
_atom_site_type_symbol
_atom_site_fract_x
_atom_site_fract_y
_atom_site_fract_z
Pm1 Pm 0.0133 0.5894 0.1851
Nd1 Nd 0.0037 0.1733 0.6908
Nd2 Nd 0.0476 0.1963 0.9167
Sm1 Sm 0.0000 0.0000 0.5000
```

***

Compound: YV2Sb2
Source: Alexandria
Functional: GGA-PBE
Structure: optimized geometry

Formation energy from raw total energies (eV per atom): -0.215

Geometry as CIF:
```
data_YV2Sb2
_chemical_formula_sum 'Y2 V4 Sb4'
_cell_length_a 5.042
_cell_length_b 5.042
_cell_length_c 8.484
_cell_angle_alpha 90.00
_cell_angle_beta 90.00
_cell_angle_gamma 90.00
_symmetry_space_group_name_H-M 'I 4/m m m'
_symmetry_Int_Tables_number 139
_symmetry_space_group_name_Hall '-I 4 2'
loop_
_atom_site_label
_atom_site_type_symbol
_atom_site_fract_x
_atom_site_fract_y
_atom_site_fract_z
Y1 Y 0.000 0.000 0.000
V1 V 0.000 0.000 0.388
Sb1 Sb 0.000 0.500 0.250
```

***

Number 1: VASP energy -3.0281 eV/atom. Number 2: VASP energy -3.9009 eV/atom. Number 3: VASP energy -2.0295 eV/atom. Number 4: VASP energy -5.0514 eV/atom. Number 5: VASP energy -6.5541 eV/atom. Number 6: VASP energy -7.7949 eV/atom. Number 7: VASP energy -4.6320 eV/atom. Number 8: VASP energy -6.8037 eV/atom.